# 1
{
  "formula": "Zn4Ag3",
  "functional": "GGA-PBE",
  "state": "relaxed",
  "delta_e_f_mev_per_atom": 97.0,
  "relative_energy_ev_per_atom": 0.123,
  "total_energy_ev_per_atom": -1.853,
  "lattice_angstrom": [[5.421, 0.000, 0.000], [-2.711, 4.695, 0.000], [0.000, 0.000, 4.845]],
  "species": ["Zn", "Zn", "Zn", "Zn", "Ag", "Ag", "Ag"],
  "frac_coords": [[0.000, 0.000, 0.246], [0.000, 0.000, 0.754], [0.333, 0.667, 0.000], [0.667, 0.333, 0.000], [0.000, 0.500, 0.500], [0.500, 0.000, 0.500], [0.500, 0.500, 0.500]]
}

=====

# 2
{
  "formula": "Zn4Ag5",
  "functional": "GGA-PBE",
  "state": "relaxed",
  "delta_e_f_mev_per_atom": 5.8,
  "relative_energy_ev_per_atom": 0.033,
  "total_energy_ev_per_atom": -2.144,
  "lattice_angstrom": [[-4.936, 4.936, 1.540], [4.936, -4.936, 1.540], [4.936, 4.936, -1.540]],
  "species": ["Zn", "Zn", "Zn", "Zn", "Ag", "Ag", "Ag", "Ag", "Ag"],
  "frac_coords": [[0.000, 0.336, 0.336], [0.000, 0.664, 0.664], [0.336, 0.000, 0.336], [0.664, 0.000, 0.664], [0.000, 0.000, 0.000], [0.334, 0.334, 0.667], [0.334, 0.666, 0.000], [0.666, 0.334, 0.000], [0.666, 0.666, 0.333]]
}